1.
{"formula": "KMnPb2", "functional": "GGA-PBEsol", "state": "optimized geometry", "lattice_angstrom": [[-4.1733, 2.6585, 1.8295], [-1.1317, -0.0876, 5.1520], [0.7080, 4.3294, 2.9301]], "species": ["Pb", "Pb", "K", "Mn"], "frac_coords": [[0.2500, 0.2500, 0.2500], [0.7500, 0.7500, 0.7500], [0.0000, 0.0000, 0.0000], [0.5000, 0.5000, 0.5000]], "polymorph_energy_mev_per_atom": 229, "spacegroup": "Fm-3m (225)", "volume_a3_per_cell": 103.8}


2.
{"formula": "KTiMnPb2", "functional": "GGA-PBEsol", "state": "optimized geometry", "lattice_angstrom": [[-1.0339, 4.3080, -0.5134], [-2.1595, -1.0751, -4.6724], [-4.6370, -0.8345, 2.3352]], "species": ["Ti", "Mn", "Pb", "Pb", "K"], "frac_coords": [[0.5000, 0.0000, 0.0000], [0.0000, 0.0000, 0.0000], [0.0000, 0.0000, 0.5000], [0.0000, 0.5000, 0.0000], [0.5000, 0.5000, 0.5000]], "spacegroup": "P4/mmm (123)", "volume_a3_per_cell": 123.3}


3.
{"formula": "KTi2MnPb", "functional": "GGA-PBEsol", "state": "optimized geometry", "lattice_angstrom": [[5.2780, 0.0000, 0.0000], [0.0000, 5.2780, 0.0000], [0.0000, 0.0000, 6.0319]], "species": ["Mn", "Ti", "Ti", "Pb", "K"], "frac_coords": [[0.5000, 0.5000, 0.5000], [0.0000, 0.5000, 0.0000], [0.5000, 0.0000, 0.0000], [0.0000, 0.0000, 0.0000], [0.0000, 0.0000, 0.5000]], "spacegroup": "P4/mmm (123)", "volume_a3_per_cell": 168.0}


4.
{"formula": "KMnPd3", "functional": "GGA-PBEsol", "state": "optimized geometry", "lattice_angstrom": [[-2.2560, -2.2397, 3.4874], [2.6260, -3.8443, -0.7702], [3.2067, 1.5724, 3.0843]], "species": ["Pd", "Pd", "Pd", "K", "Mn"], "frac_coords": [[0.0000, 0.5000, 0.0000], [0.5000, 0.0000, 0.0000], [0.0000, 0.0000, 0.5000], [0.5000, 0.5000, 0.5000], [0.0000, 0.0000, 0.0000]], "spacegroup": "Pm-3m (221)", "volume_a3_per_cell": 105.1}


5.
{"formula": "KMnPt", "functional": "GGA-PBEsol", "state": "optimized geometry", "lattice_angstrom": [[-0.8056, -2.0353, 2.6668], [3.3415, -0.2436, 0.8235], [-1.7809, 5.9236, 1.7512]], "species": ["Mn", "K", "Pt"], "frac_coords": [[0.2717, 0.2717, 0.5435], [0.0044, 0.0044, 0.0089], [0.7238, 0.7238, 0.4477]], "polymorph_energy_mev_per_atom": 0, "spacegroup": "I4mm (107)", "volume_a3_per_cell": 70.8}


6.
{"formula": "K2Mn2Pt", "functional": "GGA-PBEsol", "state": "optimized geometry", "lattice_angstrom": [[-1.0346, -2.3154, -2.7376], [3.5588, -0.3165, -1.0773], [-0.3731, -4.6126, 6.5857]], "species": ["Pt", "K", "K", "Mn", "Mn"], "frac_coords": [[0.0000, 0.0000, 0.0000], [0.7500, 0.2500, 0.5000], [0.2500, 0.7500, 0.5000], [0.4246, 0.4246, 0.8493], [0.5754, 0.5754, 0.1507]], "spacegroup": "I4/mmm (139)", "volume_a3_per_cell": 105.9}


7.
{"formula": "KMnPt2", "functional": "GGA-PBEsol", "state": "optimized geometry", "lattice_angstrom": [[-0.4127, -2.6546, -0.7352], [3.9469, 0.2472, -3.1082], [3.0276, -1.5024, 3.7251]], "species": ["Pt", "Pt", "Mn", "K"], "frac_coords": [[0.0000, 0.5000, 0.0000], [0.0000, 0.0000, 0.5000], [0.5000, 0.0000, 0.0000], [0.5000, 0.5000, 0.5000]], "spacegroup": "P4/mmm (123)", "volume_a3_per_cell": 70.5}


8.
{"formula": "KMnPt2", "functional": "GGA-PBEsol", "state": "optimized geometry", "lattice_angstrom": [[-2.5045, -0.5529, -1.0650], [1.6915, -1.3784, -3.2621], [0.2248, -6.6787, 2.9388]], "species": ["Pt", "Pt", "K", "Mn"], "frac_coords": [[0.0000, 0.0000, 0.9811], [0.5000, 0.5000, 0.1874], [0.0000, 0.0000, 0.4835], [0.5000, 0.5000, 0.8480]], "spacegroup": "Pmm2 (25)", "volume_a3_per_cell": 79.6}


Number 1: calculated formation energy 406 meV per atom, N(E_F) 0.522 states/eV/atom, spin magnetization 4.26 μB/cell. Number 2: calculated formation energy 389 meV per atom, N(E_F) 0.794 states/eV/atom, spin magnetization 0.65 μB/cell. Number 3: calculated formation energy 1585 meV per atom, N(E_F) 1.939 states/eV/atom, spin magnetization 8.83 μB/cell. Number 4: calculated formation energy 564 meV per atom, N(E_F) 0.434 states/eV/atom, spin magnetization 4.36 μB/cell. Number 5: calculated formation energy 320 meV per atom, N(E_F) 0.634 states/eV/atom, spin magnetization 4.14 μB/cell. Number 6: calculated formation energy 1296 meV per atom, N(E_F) 0.643 states/eV/atom, spin magnetization 8.31 μB/cell. Number 7: calculated formation energy 482 meV per atom, N(E_F) 0.583 states/eV/atom, spin magnetization 4.38 μB/cell. Number 8: calculated formation energy 242 meV per atom, N(E_F) 0.650 states/eV/atom, spin magnetization 4.31 μB/cell.